[1]
Density functional theory data (GGA-PBE) for a relaxed Zn2HgBr crystal.

Computed properties:
- excess energy over the best structure of this formula in the dataset (meV per atom) = 122.6
- formation energy from raw total energies (eV/atom) = 0.01
- V (Å³ per cell) = 200.3

a b c (Å): 3.7815 6.3787 8.3040
angles (deg): 90.00 90.00 90.00
With the nearest neighbours (Å) after each atom.
Space group Immm (No. 71)
Asymmetric unit:
Zn (0.0000, 0.0000, 0.2446) (multiplicity 4)  2 Hg 2.78, 2 Br 2.84
Hg (0.0000, 0.5000, 0.5000) (multiplicity 2)  4 Zn 2.78
Br (0.0000, 0.5000, 0.0000) (multiplicity 2)  4 Zn 2.84

[2]
Density functional theory data (GGA-PBE) for a relaxed ZnHg2Br6 crystal.

Computed properties:
- formation energy from raw total energies (eV/atom) = -0.58
- V (Å³ per cell) = 1413.1

a b c (Å): 15.0485 14.7878 7.1173
angles (deg): 90.00 116.85 90.00
With the nearest neighbours (Å) after each atom.
Space group C2/c (No. 15)
Asymmetric unit:
Zn (0.0000, 0.2206, 0.2500) (multiplicity 4)  4 Br 2.43-2.45
Hg (0.2316, 0.4162, 0.4351) (multiplicity 8)  4 Br 2.62-2.74
Br (0.0948, 0.1263, 0.5611) (multiplicity 8)  1 Zn 2.45, 1 Hg 2.68
Br (0.1008, 0.3076, 0.1272) (multiplicity 8)  1 Zn 2.43, 1 Hg 2.71
Br (0.1998, 0.4127, 0.7684) (multiplicity 8)  2 Hg 2.62-2.74

[3]
Density functional theory data (GGA-PBE) for a relaxed ZnHgBr3 crystal.

Computed properties:
- formation energy from raw total energies (eV/atom) = -0.30
- V (Å³ per cell) = 140.6

a b c (Å): 5.2001 5.2001 5.2001
angles (deg): 90.00 90.00 90.00
With the nearest neighbours (Å) after each atom.
Space group Pm-3m (No. 221)
Asymmetric unit:
Zn (0.0000, 0.0000, 0.0000) (multiplicity 1)  6 Br 2.60
Hg (0.5000, 0.5000, 0.5000) (multiplicity 1)  12 Br 3.68
Br (0.0000, 0.0000, 0.5000) (multiplicity 3)  2 Zn 2.60

[4]
Density functional theory data (GGA-PBE) for a relaxed Zn2HgBr crystal.

Computed properties:
- excess energy over the best structure of this formula in the dataset (meV per atom) = 167.2
- formation energy from raw total energies (eV/atom) = 0.05
- V (Å³ per cell) = 197.0

a b c (Å): 3.9768 3.9768 12.4566
angles (deg): 90.00 90.00 90.00
With the nearest neighbours (Å) after each atom.
Space group I-4m2 (No. 119)
Asymmetric unit:
Zn (0.0000, 0.0000, 0.0000) (multiplicity 2)  4 Hg 2.81
Zn (0.0000, 0.5000, 0.2500) (multiplicity 2)  4 Br 2.81
Hg (0.0000, 0.0000, 0.5000) (multiplicity 2)  4 Zn 2.81
Br (0.0000, 0.5000, 0.7500) (multiplicity 2)  4 Zn 2.81

Among the records above, which one has the lowest V?
ZnHgBr3

Copy entry 3 word for word.
Density functional theory data (GGA-PBE) for a relaxed ZnHgBr3 crystal.

Computed properties:
- formation energy from raw total energies (eV/atom) = -0.30
- V (Å³ per cell) = 140.6

a b c (Å): 5.2001 5.2001 5.2001
angles (deg): 90.00 90.00 90.00
With the nearest neighbours (Å) after each atom.
Space group Pm-3m (No. 221)
Asymmetric unit:
Zn (0.0000, 0.0000, 0.0000) (multiplicity 1)  6 Br 2.60
Hg (0.5000, 0.5000, 0.5000) (multiplicity 1)  12 Br 3.68
Br (0.0000, 0.0000, 0.5000) (multiplicity 3)  2 Zn 2.60

The lowest V belongs to which entry?
ZnHgBr3